The following is a DFT calculation (GGA-PBE) of crystalline CdW3 at its relaxed geometry.

Cell: 4.0541 4.0541 8.2047 Å, 90.00 90.00 90.00°
With the nearest neighbours (Å) after each atom.
Space group I4/mmm (No. 139)
Symmetry-distinct sites (fractional):
Cd 0.0000 0.0000 0.0000  12 W 2.87-2.88
W 0.0000 0.0000 0.5000  4 Cd 2.87, 8 W 2.88
W 0.0000 0.5000 0.2500  8 W 2.87-2.88, 4 Cd 2.88

Properties
final energy	-74.3	eV/cell
formation energy from the elements	2.6	eV per formula unit
polymorph energy (0 for the lowest one)	341	meV per atom

***

The following is a DFT calculation (GGA-PBE) of crystalline Zr3Al4Zn2 at its relaxed geometry.

Cell: 9.9580 4.3755 8.2386 Å, 90.00 116.40 90.00°
With the nearest neighbours (Å) after each atom.
Space group C2/m (No. 12)
Symmetry-distinct sites (fractional):
Zr 0.0000 0.0000 0.0000  8 Al 2.99-3.02, 4 Zn 3.02, 2 Zr 3.25
Zr 0.1642 0.5000 0.6674  8 Al 2.98-3.02, 4 Zn 2.99-3.00, 2 Zr 3.21-3.25
Al 0.0583 0.0000 0.3882  2 Zn 2.51, 1 Al 2.58
Al 0.2221 0.5000 0.0599  1 Zn 2.50, 2 Al 2.56
Zn 0.1148 0.5000 0.2820  3 Al 2.50-2.51

Properties
final energy	-94.6	eV/cell
formation energy from the elements	-4.2	eV per formula unit

***

The following is a DFT calculation (GGA-PBE) of crystalline Pa2VCo4P3 at its relaxed geometry.

Cell: 3.8839 3.8839 9.4255 Å, 90.00 90.00 90.00°
With the nearest neighbours (Å) after each atom.
Space group P-4m2 (No. 115)
Symmetry-distinct sites (fractional):
Pa 0.0000 0.5000 0.2425  6 P 2.94-3.11, 8 Co 3.00, 2 V 3.11
V 0.0000 0.0000 0.5000  4 Co 2.30
Co 0.0000 0.0000 0.0000  4 P 2.30
Co 0.0000 0.5000 0.6301  3 P 2.26-2.30, 2 V 2.30
Co 0.5000 0.5000 0.0000  4 P 2.30
P 0.0000 0.5000 0.8702  5 Co 2.26-2.30
P 0.5000 0.5000 0.5000  4 Co 2.30

Properties
final energy	-81.8	eV/cell
formation energy from the elements	-9.0	eV per formula unit